An optimized crystal structure of MgInRh4. Source: the Alexandria database, functional PBE.

Output
Energy above the most stable polymorph in this dataset (meV/atom): 43
Total magnetization (μB per cell): 0.0
Energy of formation from the pure elements (eV per formula unit): -0.9

Cell lengths 5.198, 5.198, 5.198 Å; angles 60.00, 60.00, 60.00 degrees
Fractional positions:
Mg  0.000  0.000  0.000
In  0.750  0.750  0.750
Rh  0.875  0.375  0.375
Rh  0.375  0.375  0.875
Rh  0.375  0.875  0.375
Rh  0.375  0.375  0.375